A plane-wave DFT calculation with PBE was carried out for a relaxed structure of SrLi3Pa4Se12.

The structure belongs to space group Im-3 (No. 204); the cell edges are 10.417, 10.417 and 10.417 Å and the angles 90.00°, 90.00° and 90.00°. The inequivalent atoms are Sr at (0.000, 0.000, 0.000), Li at (0.000, 0.000, 0.500), Pa at (0.250, 0.250, 0.250) and Se at (0.000, 0.171, 0.302).

The value obtained for the density of states at the Fermi level is 10.410 states/eV/f.u. The total magnetization comes out at 2.63 μB/cell. The formation energy from raw total energies is -128.5 kJ/mol of atoms.